No. 1
Density functional theory data (PBE) for LiDyHoTm after structural relaxation.

Structure (POSCAR):
```
LiDyHoTm
1.0
0.000 3.838 3.838
3.838 0.000 3.838
3.838 3.838 0.000
Li Dy Ho Tm
1 1 1 1
Direct
0.000 0.000 0.000
0.250 0.250 0.250
0.750 0.750 0.750
0.500 0.500 0.500
```

Properties
The total energy is -3.723 eV per atom. Its crystal system is cubic. The density comes out at 7.4 g/cm3. The calculation puts the magnetization at 0.00 μB per formula unit.

=====

No. 2
Density functional theory data (PBE) for PrMg3Pt2 after structural relaxation.

Structure (POSCAR):
```
PrMg3Pt2
1.0
7.201 -4.613 0.000
7.201 4.613 0.000
-1.149 0.000 3.908
Pr Mg Pt
2 6 4
Direct
0.133 0.133 0.132
0.867 0.867 0.868
0.145 0.527 0.336
0.345 0.655 0.000
0.473 0.855 0.664
0.527 0.145 0.336
0.655 0.345 0.000
0.855 0.473 0.664
0.153 0.847 0.500
0.311 0.311 0.811
0.689 0.689 0.189
0.847 0.153 0.500
```

Properties
The total energy is -4.339 eV per atom. Its crystal system is monoclinic. The density comes out at 7.7 g/cm3. The calculation puts the magnetization at 0.00 μB per formula unit.

=====

No. 3
Density functional theory data (PBE) for K2BiAsN after structural relaxation.

Structure (POSCAR):
```
K2BiAsN
1.0
6.191 0.000 0.000
0.000 6.191 0.000
0.000 0.000 3.799
K Bi As N
2 1 1 1
Direct
0.000 0.500 0.000
0.500 0.000 0.000
0.000 0.000 0.500
0.500 0.500 0.500
0.500 0.500 0.000
```

Properties
The total energy is -3.664 eV per atom. Its crystal system is tetragonal. The density comes out at 4.3 g/cm3. For the uncorrected formation energy, the calculation gives 146 meV per atom. The calculation puts the magnetization at 0.00 μB per formula unit.

=====

No. 4
Density functional theory data (PBE) for Ba2LiW after structural relaxation.

Structure (POSCAR):
```
Ba2LiW
1.0
1.749 1.010 11.791
-1.749 1.010 11.791
0.000 -2.020 11.791
Ba Li W
2 1 1
Direct
0.240 0.240 0.240
0.760 0.760 0.760
0.000 0.000 0.000
0.500 0.500 0.500
```

Properties
The total energy is -3.566 eV per atom. The energy above the most stable polymorph in this dataset comes out at 124.0 meV per atom. Its crystal system is trigonal. The density comes out at 6.2 g/cm3. The calculation puts the magnetization at 0.19 μB per formula unit.

=====

No. 5
Density functional theory data (PBE) for Ac4InAg2 after structural relaxation.

Structure (POSCAR):
```
Ac4InAg2
1.0
2.823 1.630 9.034
-2.823 1.630 9.034
0.000 -3.259 9.034
Ac In Ag
4 1 2
Direct
0.119 0.119 0.119
0.372 0.372 0.372
0.628 0.628 0.628
0.881 0.881 0.881
0.500 0.500 0.500
0.248 0.248 0.248
0.752 0.752 0.752
```

Properties
The total energy is -3.734 eV per atom. Its crystal system is trigonal. The density comes out at 8.2 g/cm3. The calculation puts the magnetization at 0.00 μB per formula unit.

=====

No. 6
Density functional theory data (PBE) for BaAc2NdTl4 after structural relaxation.

Structure (POSCAR):
```
BaAc2NdTl4
1.0
2.915 1.683 9.513
-2.915 1.683 9.513
0.000 -3.365 9.513
Ba Ac Nd Tl
1 2 1 4
Direct
0.000 0.000 0.000
0.252 0.252 0.252
0.748 0.748 0.748
0.500 0.500 0.500
0.129 0.129 0.129
0.383 0.383 0.383
0.617 0.617 0.617
0.871 0.871 0.871
```

Properties
The total energy is -3.387 eV per atom. Its crystal system is trigonal. The density comes out at 9.2 g/cm3. The calculation puts the magnetization at 0.00 μB per formula unit.

=====

No. 7
Density functional theory data (PBE) for MgCuBr after structural relaxation.

Structure (POSCAR):
```
MgCuBr
1.0
0.000 2.985 5.878
1.831 0.000 5.878
1.831 2.985 0.000
Mg Cu Br
1 1 1
Direct
0.000 0.000 0.000
0.347 0.347 0.653
0.673 0.673 0.327
```

Properties
The total energy is -2.603 eV per atom. The energy above the most stable polymorph in this dataset comes out at 129.5 meV per atom. Its crystal system is orthorhombic. The density comes out at 4.3 g/cm3. For the uncorrected formation energy, the calculation gives -148 meV per atom. The calculation puts the magnetization at 0.00 μB per formula unit.

=====

No. 8
Density functional theory data (PBE) for KIr3Os after structural relaxation.

Structure (POSCAR):
```
KIr3Os
1.0
4.831 0.000 0.000
0.000 4.831 0.000
0.000 0.000 4.831
K Ir Os
1 3 1
Direct
0.000 0.000 0.000
0.000 0.500 0.500
0.500 0.000 0.500
0.500 0.500 0.000
0.500 0.500 0.500
```

Properties
The total energy is -6.392 eV per atom. The energy above the most stable polymorph in this dataset comes out at 0.0 meV per atom. Its crystal system is cubic. The density comes out at 11.9 g/cm3. The calculation puts the magnetization at 0.00 μB per formula unit.

=====

No. 9
Density functional theory data (PBE) for TaCoSi2 after structural relaxation.

Structure (POSCAR):
```
TaCoSi2
1.0
2.875 0.000 0.000
0.000 3.783 0.000
0.000 0.000 5.074
Ta Co Si
1 1 2
Direct
0.000 0.000 0.000
0.500 0.000 0.500
0.500 0.500 0.254
0.500 0.500 0.746
```

Properties
The total energy is -7.836 eV per atom. Its crystal system is orthorhombic. The density comes out at 8.9 g/cm3. For the uncorrected formation energy, the calculation gives -384 meV per atom. The calculation puts the magnetization at 0.00 μB per formula unit.

=====

No. 10
Density functional theory data (PBE) for YZn2Cu10 after structural relaxation.

Structure (POSCAR):
```
YZn2Cu10
1.0
0.000 5.984 6.117
2.441 0.000 6.117
2.441 5.984 0.000
Y Zn Cu
1 2 10
Direct
0.000 0.000 0.000
0.000 0.500 0.000
0.500 0.000 0.500
0.000 0.000 0.500
0.005 0.645 0.355
0.279 0.502 0.498
0.355 0.995 0.005
0.498 0.721 0.279
0.500 0.500 0.000
0.502 0.279 0.721
0.645 0.005 0.995
0.721 0.498 0.502
0.995 0.355 0.645
```

Properties
The total energy is -3.949 eV per atom. Its crystal system is orthorhombic. The density comes out at 7.9 g/cm3. The calculation puts the magnetization at 0.00 μB per formula unit.

=====

No. 11
Density functional theory data (PBE) for RbMgSi3 after structural relaxation.

Structure (POSCAR):
```
RbMgSi3
1.0
5.144 0.000 0.000
0.000 5.144 0.000
0.000 0.000 5.144
Rb Mg Si
1 1 3
Direct
0.000 0.000 0.000
0.500 0.500 0.500
0.000 0.500 0.500
0.500 0.000 0.500
0.500 0.500 0.000
```

Properties
The total energy is -2.927 eV per atom. The energy above the most stable polymorph in this dataset comes out at 0.0 meV per atom. Its crystal system is cubic. The density comes out at 2.4 g/cm3. For the uncorrected formation energy, the calculation gives 839 meV per atom. The calculation puts the magnetization at 0.00 μB per formula unit.

=====

No. 12
Density functional theory data (PBE) for SbPb4W after structural relaxation.

Structure (POSCAR):
```
SbPb4W
1.0
0.000 4.471 4.471
4.471 0.000 4.471
4.471 4.471 0.000
Sb Pb W
1 4 1
Direct
0.000 0.000 0.000
0.376 0.376 0.376
0.376 0.376 0.873
0.376 0.873 0.376
0.873 0.376 0.376
0.750 0.750 0.750
```

Properties
The total energy is -4.222 eV per atom. Its crystal system is cubic. The density comes out at 10.5 g/cm3. For the uncorrected formation energy, the calculation gives 1097 meV per atom. The calculation puts the magnetization at 2.88 μB per formula unit.

=====

No. 13
Density functional theory data (PBE) for NaBPb after structural relaxation.

Structure (POSCAR):
```
NaBPb
1.0
2.645 -6.168 0.000
2.645 6.168 0.000
0.000 0.000 4.219
Na B Pb
2 2 2
Direct
0.134 0.866 0.000
0.866 0.134 0.000
0.147 0.147 0.500
0.853 0.853 0.500
0.370 0.630 0.500
0.630 0.370 0.500
```

Properties
The total energy is -3.557 eV per atom. Its crystal system is orthorhombic. The density comes out at 5.8 g/cm3. The calculation puts the magnetization at 0.00 μB per formula unit.

=====

No. 14
Density functional theory data (PBE) for Nd3As5S12 after structural relaxation.

Structure (POSCAR):
```
Nd3As5S12
1.0
-7.862 7.862 7.862
7.862 -7.862 7.862
7.862 7.862 -7.862
Nd As S
12 20 48
Direct
0.125 0.250 0.375
0.125 0.375 0.750
0.250 0.375 0.125
0.250 0.875 0.625
0.375 0.125 0.250
0.375 0.750 0.125
0.625 0.250 0.875
0.625 0.875 0.750
0.750 0.125 0.375
0.750 0.625 0.875
0.875 0.625 0.250
0.875 0.750 0.625
0.000 0.000 0.000
0.000 0.000 0.500
0.000 0.500 0.000
0.000 0.500 0.500
0.125 0.750 0.875
0.125 0.875 0.250
0.250 0.125 0.875
0.250 0.625 0.375
0.375 0.250 0.625
0.375 0.625 0.750
0.500 0.000 0.000
0.500 0.000 0.500
0.500 0.500 0.000
0.500 0.500 0.500
0.625 0.375 0.250
0.625 0.750 0.375
0.750 0.375 0.625
0.750 0.875 0.125
0.875 0.125 0.750
0.875 0.250 0.125
0.038 0.211 0.127
0.038 0.327 0.911
0.083 0.711 0.673
0.083 0.873 0.411
0.089 0.627 0.417
0.089 0.962 0.673
0.127 0.038 0.211
0.127 0.589 0.917
0.173 0.211 0.583
0.173 0.462 0.589
0.211 0.127 0.038
0.211 0.583 0.173
0.289 0.327 0.917
0.289 0.462 0.373
0.327 0.911 0.038
0.327 0.917 0.289
0.373 0.289 0.462
0.373 0.583 0.911
0.411 0.083 0.873
0.411 0.827 0.538
0.417 0.089 0.627
0.417 0.827 0.789
0.462 0.373 0.289
0.462 0.589 0.173
0.538 0.411 0.827
0.538 0.627 0.711
0.583 0.173 0.211
0.583 0.911 0.373
0.589 0.173 0.462
0.589 0.917 0.127
0.627 0.417 0.089
0.627 0.711 0.538
0.673 0.083 0.711
0.673 0.089 0.962
0.711 0.538 0.627
0.711 0.673 0.083
0.789 0.417 0.827
0.789 0.873 0.962
0.827 0.538 0.411
0.827 0.789 0.417
0.873 0.411 0.083
0.873 0.962 0.789
0.911 0.038 0.327
0.911 0.373 0.583
0.917 0.127 0.589
0.917 0.289 0.327
0.962 0.673 0.089
0.962 0.789 0.873
```

Properties
The total energy is -5.071 eV per atom. Its crystal system is cubic. The density comes out at 4.1 g/cm3. For the uncorrected formation energy, the calculation gives -717 meV per atom. The calculation puts the magnetization at 0.00 μB per formula unit.

=====

No. 15
Density functional theory data (PBE) for Re2PtN after structural relaxation.

Structure (POSCAR):
```
Re2PtN
1.0
-2.384 2.384 5.718
2.384 -2.384 5.718
2.384 2.384 -5.718
Re Pt N
4 2 2
Direct
0.016 0.625 0.891
0.375 0.266 0.391
0.734 0.125 0.109
0.875 0.984 0.609
0.250 0.750 0.500
0.500 0.500 0.000
0.000 0.000 0.000
0.750 0.250 0.500
```

Properties
The total energy is -9.169 eV per atom. Its crystal system is tetragonal. The density comes out at 14.9 g/cm3. For the uncorrected formation energy, the calculation gives 646 meV per atom. The calculation puts the magnetization at 0.00 μB per formula unit.

=====

No. 16
Density functional theory data (PBE) for Dy2HfTe2N2 after structural relaxation.

Structure (POSCAR):
```
Dy2HfTe2N2
1.0
-2.094 2.094 8.841
2.094 -2.094 8.841
2.094 2.094 -8.841
Dy Hf Te N
2 1 2 2
Direct
0.091 0.091 0.000
0.909 0.909 0.000
0.500 0.500 0.000
0.331 0.331 0.000
0.669 0.669 0.000
0.000 0.500 0.500
0.500 0.000 0.500
```

Properties
The total energy is -7.470 eV per atom. Its crystal system is tetragonal. The density comes out at 8.4 g/cm3. For the uncorrected formation energy, the calculation gives -1457 meV per atom. The calculation puts the magnetization at 0.00 μB per formula unit.

=====

No. 17
Density functional theory data (PBE) for AlIrSe3 after structural relaxation.

Structure (POSCAR):
```
AlIrSe3
1.0
4.724 0.000 0.000
0.000 4.724 0.000
0.000 0.000 4.724
Al Ir Se
1 1 3
Direct
0.000 0.000 0.000
0.500 0.500 0.500
0.000 0.000 0.500
0.000 0.500 0.000
0.500 0.000 0.000
```

Properties
The total energy is -3.768 eV per atom. The energy above the most stable polymorph in this dataset comes out at 343.5 meV per atom. Its crystal system is cubic. The density comes out at 7.2 g/cm3. For the uncorrected formation energy, the calculation gives 843 meV per atom. The calculation puts the magnetization at 0.00 μB per formula unit.

=====

No. 18
Density functional theory data (PBE) for Tm8CuPt2 after structural relaxation.

Structure (POSCAR):
```
Tm8CuPt2
1.0
4.191 -6.314 0.000
4.191 6.314 0.000
-1.782 0.000 5.496
Tm Cu Pt
8 1 2
Direct
0.000 0.000 0.000
0.027 0.284 0.589
0.144 0.587 0.183
0.284 0.027 0.589
0.441 0.700 0.795
0.587 0.144 0.183
0.700 0.441 0.795
0.727 0.727 0.368
0.363 0.363 0.027
0.051 0.673 0.686
0.673 0.051 0.686
```

Properties
The total energy is -5.163 eV per atom. Its crystal system is monoclinic. The density comes out at 10.3 g/cm3. The calculation puts the magnetization at 0.00 μB per formula unit.

=====

No. 19
Density functional theory data (PBE) for SrDyTm after structural relaxation.

Structure (POSCAR):
```
SrDyTm
1.0
5.801 -2.560 0.000
5.801 2.560 0.000
-2.361 0.000 7.375
Sr Dy Tm
2 2 2
Direct
0.166 0.166 0.090
0.834 0.834 0.910
0.157 0.157 0.566
0.843 0.843 0.434
0.492 0.492 0.714
0.508 0.508 0.286
```

Properties
The total energy is -3.388 eV per atom. The energy above the most stable polymorph in this dataset comes out at 47.9 meV per atom. Its crystal system is monoclinic. The density comes out at 6.4 g/cm3. The calculation puts the magnetization at 0.00 μB per formula unit.

=====

No. 20
Density functional theory data (PBE) for TcGe2Te after structural relaxation.

Structure (POSCAR):
```
TcGe2Te
1.0
-3.021 3.021 5.923
3.021 -3.021 5.923
3.021 3.021 -5.923
Tc Ge Te
2 4 2
Direct
0.000 0.000 0.000
0.750 0.250 0.500
0.063 0.625 0.938
0.375 0.313 0.438
0.687 0.125 0.062
0.875 0.937 0.562
0.250 0.750 0.500
0.500 0.500 0.000
```

Properties
The total energy is -5.212 eV per atom. Its crystal system is tetragonal. The density comes out at 5.7 g/cm3. For the uncorrected formation energy, the calculation gives 474 meV per atom. The calculation puts the magnetization at 0.00 μB per formula unit.

=====

No. 21
Density functional theory data (PBE) for PmPrTmCu after structural relaxation.

Structure (POSCAR):
```
PmPrTmCu
1.0
3.555 0.000 0.000
0.000 3.555 0.000
0.000 0.000 8.763
Pm Pr Tm Cu
1 1 1 1
Direct
0.000 0.000 0.000
0.500 0.500 0.314
0.000 0.000 0.616
0.500 0.500 0.789
```

Properties
The total energy is -4.617 eV per atom. Its crystal system is tetragonal. The density comes out at 7.8 g/cm3. The calculation puts the magnetization at 0.00 μB per formula unit.

=====

No. 22
Density functional theory data (PBE) for AgSbRh after structural relaxation.

Structure (POSCAR):
```
AgSbRh
1.0
4.474 0.000 0.000
-2.237 3.874 0.000
0.000 0.000 3.267
Ag Sb Rh
1 1 1
Direct
0.000 0.000 0.000
0.333 0.667 0.500
0.667 0.333 0.500
```

Properties
The total energy is -4.817 eV per atom. The energy above the most stable polymorph in this dataset comes out at 92.5 meV per atom. Its crystal system is hexagonal. The density comes out at 9.8 g/cm3. For the uncorrected formation energy, the calculation gives -42 meV per atom. The calculation puts the magnetization at 0.00 μB per formula unit.

=====

No. 23
Density functional theory data (PBE) for As3C after structural relaxation.

Structure (POSCAR):
```
As3C
1.0
3.338 -5.821 0.000
3.338 5.821 0.000
0.000 0.000 4.781
As C
6 2
Direct
0.054 0.946 0.750
0.105 0.381 0.750
0.381 0.105 0.250
0.619 0.895 0.750
0.895 0.619 0.250
0.946 0.054 0.250
0.401 0.599 0.750
0.599 0.401 0.250
```

Properties
The total energy is -4.816 eV per atom. The energy above the most stable polymorph in this dataset comes out at 436.2 meV per atom. Its crystal system is orthorhombic. The density comes out at 4.2 g/cm3. The calculation puts the magnetization at 0.00 μB per formula unit.